(1)
Below is a geometry-optimized Sm3TmSb2 structure, with properties calculated at the PBE-GGA level.

## Properties
V: 402.06 Å³/cell
E_form (uncorrected): -595 meV per atom
space-group type: Ibam, No. 72
energy above the most stable polymorph in this dataset: 0.224 eV per atom

Lattice parameters (Å, degrees): 8.9384 8.9384 8.9384 133.04 72.67 127.98
Closest atoms and distances in Å follow each position.
Sites, in units of the cell vectors:
1 Sm 0.0413 0.7500 0.2913  4 Sb 3.14-3.15
2 Sm 0.2500 0.2500 0.0000  4 Sb 3.14
3 Sm 0.4587 0.7500 0.7087  4 Sb 3.14-3.15
4 Sm 0.5413 0.2500 0.2913  4 Sb 3.14-3.15
5 Sm 0.7500 0.7500 0.0000  4 Sb 3.14
6 Sm 0.9587 0.2500 0.7087  4 Sb 3.14-3.15
7 Tm 0.0000 0.5000 0.5000  2 Sb 3.09
8 Tm 0.5000 0.0000 0.5000  2 Sb 3.09
9 Sb 0.1448 0.1804 0.3252  1 Tm 3.09, 6 Sm 3.14-3.15
10 Sb 0.3552 0.6804 0.0355  1 Tm 3.09, 6 Sm 3.14-3.15
11 Sb 0.6448 0.3196 0.9645  1 Tm 3.09, 6 Sm 3.14-3.15
12 Sb 0.8552 0.8196 0.6748  1 Tm 3.09, 6 Sm 3.14-3.15

---

(2)
Below is a geometry-optimized Sm2TmSb2 structure, with properties calculated at the PBE-GGA level.

## Properties
V: 316.03 Å³/cell
E_form (uncorrected): -822 meV per atom
space-group type: Ibam, No. 72

Lattice parameters (Å, degrees): 7.9269 7.9269 7.9269 115.56 83.48 133.01
Closest atoms and distances in Å follow each position.
Sites, in units of the cell vectors:
1 Sm 0.1517 0.1443 0.2960  5 Sb 3.07-3.27
2 Sm 0.3483 0.6443 0.9926  5 Sb 3.07-3.27
3 Sm 0.6517 0.3557 0.0074  5 Sb 3.07-3.27
4 Sm 0.8483 0.8557 0.7040  5 Sb 3.07-3.27
5 Tm 0.2500 0.7500 0.5000  4 Sb 3.11, 2 Tm 3.16
6 Tm 0.7500 0.2500 0.5000  4 Sb 3.11, 2 Tm 3.16
7 Sb 0.1075 0.7788 0.8863  5 Sm 3.07-3.27, 2 Tm 3.11
8 Sb 0.3925 0.2788 0.6713  5 Sm 3.07-3.27, 2 Tm 3.11
9 Sb 0.6075 0.7212 0.3287  5 Sm 3.07-3.27, 2 Tm 3.11
10 Sb 0.8925 0.2212 0.1137  5 Sm 3.07-3.27, 2 Tm 3.11

---

(3)
Below is a geometry-optimized SmTm2Sb structure, with properties calculated at the PBE-GGA level.

## Properties
V: 108.93 Å³/cell
E_form (uncorrected): -462 meV per atom
space-group type: P4/mmm, No. 123
energy above the most stable polymorph in this dataset: 0.126 eV per atom

Lattice parameters (Å, degrees): 4.7963 4.7963 4.7350 90.00 90.00 90.00
Closest atoms and distances in Å follow each position.
Sites, in units of the cell vectors:
1 Sm 0.0000 0.0000 0.0000  8 Tm 3.37, 4 Sb 3.39
2 Tm 0.0000 0.5000 0.5000  4 Sb 3.37, 4 Sm 3.37, 4 Tm 3.39
3 Tm 0.5000 0.0000 0.5000  4 Sb 3.37, 4 Sm 3.37, 4 Tm 3.39
4 Sb 0.5000 0.5000 0.0000  8 Tm 3.37, 4 Sm 3.39

---

(4)
Below is a geometry-optimized Sm2TmUSb4 structure, with properties calculated at the PBE-GGA level.

## Properties
V: 243.13 Å³/cell
E_form (uncorrected): -892 meV per atom
space-group type: P2/m, No. 10

Lattice parameters (Å, degrees): 7.6354 4.3922 7.6714 90.00 109.09 90.00
Closest atoms and distances in Å follow each position.
Sites, in units of the cell vectors:
1 Sm 0.0000 0.0000 0.0000  6 Sb 3.16
2 Sm 0.0000 0.5000 0.5000  6 Sb 3.14-3.15
3 Tm 0.5000 0.0000 0.5000  6 Sb 3.08
4 U 0.5000 0.5000 0.0000  6 Sb 3.08-3.10
5 Sb 0.2564 0.0000 0.7500  1 Tm 3.08, 2 U 3.10, 3 Sm 3.14-3.16
6 Sb 0.2594 0.5000 0.2535  1 U 3.08, 2 Tm 3.08, 3 Sm 3.15-3.16
7 Sb 0.7406 0.5000 0.7465  1 U 3.08, 2 Tm 3.08, 3 Sm 3.15-3.16
8 Sb 0.7436 0.0000 0.2500  1 Tm 3.08, 2 U 3.10, 3 Sm 3.14-3.16

---

(5)
Below is a geometry-optimized Sm2Y3TmSb6 structure, with properties calculated at the PBE-GGA level.

## Properties
V: 363.75 Å³/cell
E_form (uncorrected): -1150 meV per atom
space-group type: C2/m, No. 12

Lattice parameters (Å, degrees): 7.6396 7.6396 7.6350 99.60 99.60 120.01
Closest atoms and distances in Å follow each position.
Sites, in units of the cell vectors:
1 Sm 0.1658 0.8342 0.0000  6 Sb 3.14-3.15
2 Sm 0.8342 0.1658 0.0000  6 Sb 3.14-3.15
3 Y 0.0000 0.0000 0.5000  6 Sb 3.10-3.14
4 Y 0.3310 0.6690 0.5000  6 Sb 3.10-3.12
5 Y 0.6690 0.3310 0.5000  6 Sb 3.10-3.12
6 Tm 0.5000 0.5000 0.0000  6 Sb 3.09-3.10
7 Sb 0.0881 0.4165 0.7487  1 Tm 3.09, 3 Y 3.10-3.12, 2 Sm 3.14-3.15
8 Sb 0.2567 0.2567 0.2537  1 Tm 3.10, 3 Y 3.11-3.14, 2 Sm 3.14
9 Sb 0.4165 0.0881 0.7487  1 Tm 3.09, 3 Y 3.10-3.12, 2 Sm 3.14-3.15
10 Sb 0.5835 0.9119 0.2513  1 Tm 3.09, 3 Y 3.10-3.12, 2 Sm 3.14-3.15
11 Sb 0.7433 0.7433 0.7463  1 Tm 3.10, 3 Y 3.11-3.14, 2 Sm 3.14
12 Sb 0.9119 0.5835 0.2513  1 Tm 3.09, 3 Y 3.10-3.12, 2 Sm 3.14-3.15

---

(6)
Below is a geometry-optimized SmY3Tm2Sb6 structure, with properties calculated at the PBE-GGA level.

## Properties
V: 358.23 Å³/cell
E_form (uncorrected): -1132 meV per atom
space-group type: C2/m, No. 12

Lattice parameters (Å, degrees): 7.6001 7.6001 7.5968 99.60 99.60 120.01
Closest atoms and distances in Å follow each position.
Sites, in units of the cell vectors:
1 Sm 0.0000 0.0000 0.0000  6 Sb 3.13
2 Y 0.1645 0.8355 0.5000  6 Sb 3.09-3.12
3 Y 0.5000 0.5000 0.5000  6 Sb 3.08-3.12
4 Y 0.8355 0.1645 0.5000  6 Sb 3.09-3.12
5 Tm 0.3327 0.6673 0.0000  6 Sb 3.08
6 Tm 0.6673 0.3327 0.0000  6 Sb 3.08
7 Sb 0.0834 0.4217 0.2497  2 Tm 3.08, 3 Y 3.09-3.12, 1 Sm 3.13
8 Sb 0.2561 0.2561 0.7523  3 Y 3.08-3.11, 2 Tm 3.08, 1 Sm 3.13
9 Sb 0.4217 0.0834 0.2497  2 Tm 3.08, 3 Y 3.09-3.12, 1 Sm 3.13
10 Sb 0.5783 0.9166 0.7503  2 Tm 3.08, 3 Y 3.09-3.12, 1 Sm 3.13
11 Sb 0.7439 0.7439 0.2477  3 Y 3.08-3.11, 2 Tm 3.08, 1 Sm 3.13
12 Sb 0.9166 0.5783 0.7503  2 Tm 3.08, 3 Y 3.09-3.12, 1 Sm 3.13

---

(7)
Below is a geometry-optimized Sm3USb4 structure, with properties calculated at the PBE-GGA level.

## Properties
V: 248.61 Å³/cell
E_form (uncorrected): -922 meV per atom
space-group type: Cmmm, No. 65

Lattice parameters (Å, degrees): 7.7097 7.7097 4.4253 90.00 90.00 109.07
Closest atoms and distances in Å follow each position.
Sites, in units of the cell vectors:
1 Sm 0.0000 0.0000 0.0000  6 Sb 3.17-3.18
2 Sm 0.0000 0.5000 0.5000  6 Sb 3.14-3.15
3 Sm 0.5000 0.0000 0.5000  6 Sb 3.14-3.15
4 U 0.5000 0.5000 0.0000  6 Sb 3.10-3.13
5 Sb 0.2532 0.2532 0.5000  2 U 3.13, 4 Sm 3.14-3.17
6 Sb 0.2535 0.7465 0.0000  1 U 3.10, 5 Sm 3.15-3.18
7 Sb 0.7465 0.2535 0.0000  1 U 3.10, 5 Sm 3.15-3.18
8 Sb 0.7468 0.7468 0.5000  2 U 3.13, 4 Sm 3.14-3.17

---

(8)
Below is a geometry-optimized Sm2YSb structure, with properties calculated at the PBE-GGA level.

## Properties
V: 251.53 Å³/cell
E_form (uncorrected): -566 meV per atom
space-group type: Cmcm, No. 63
energy above the most stable polymorph in this dataset: 0.000 eV per atom

Lattice parameters (Å, degrees): 6.4517 6.4517 9.8938 90.00 90.00 142.35
Closest atoms and distances in Å follow each position.
Sites, in units of the cell vectors:
1 Sm 0.1374 0.8626 0.5456  3 Sb 3.17-3.28, 1 Sm 3.48
2 Sm 0.1374 0.8626 0.9544  3 Sb 3.17-3.28, 1 Sm 3.48
3 Sm 0.8626 0.1374 0.0456  3 Sb 3.17-3.28, 1 Sm 3.48
4 Sm 0.8626 0.1374 0.4544  3 Sb 3.17-3.28, 1 Sm 3.48
5 Y 0.4372 0.5628 0.7500  2 Sb 3.17
6 Y 0.5628 0.4372 0.2500  2 Sb 3.17
7 Sb 0.2589 0.7411 0.2500  6 Sm 3.17-3.28, 2 Y 3.17
8 Sb 0.7411 0.2589 0.7500  6 Sm 3.17-3.28, 2 Y 3.17

---

(9)
Below is a geometry-optimized Sm2YSb structure, with properties calculated at the PBE-GGA level.

## Properties
V: 138.15 Å³/cell
E_form (uncorrected): -349 meV per atom
space-group type: R3m, No. 160
energy above the most stable polymorph in this dataset: 0.217 eV per atom

Lattice parameters (Å, degrees): 9.9048 9.9048 9.9048 23.72 23.72 23.72
Closest atoms and distances in Å follow each position.
Sites, in units of the cell vectors:
1 Sm 0.0000 0.0000 0.0000  3 Sb 3.06
2 Sm 0.1973 0.1973 0.1973  3 Sb 3.07
3 Y 0.7653 0.7653 0.7653  6 Sm 3.69, 6 Y 4.07
4 Sb 0.5989 0.5989 0.5989  6 Sm 3.06-3.07

---

(10)
Below is a geometry-optimized Sm5Y5Sb6 structure, with properties calculated at the PBE-GGA level.

## Properties
V: 459.34 Å³/cell
E_form (uncorrected): -959 meV per atom
space-group type: Amm2, No. 38

Lattice parameters (Å, degrees): 6.3741 9.1336 9.1336 120.25 90.00 90.00
Closest atoms and distances in Å follow each position.
Sites, in units of the cell vectors:
1 Sm 0.0000 0.0000 0.0000  5 Sb 3.11-3.43
2 Sm 0.2500 0.5806 0.9126  2 Sm 3.19, 6 Sb 3.24-3.26
3 Sm 0.2500 0.9126 0.5806  2 Sm 3.19, 6 Sb 3.24-3.26
4 Sm 0.7500 0.5806 0.9126  2 Sm 3.19, 6 Sb 3.24-3.26
5 Sm 0.7500 0.9126 0.5806  2 Sm 3.19, 6 Sb 3.24-3.26
6 Y 0.0000 0.2456 0.4945  5 Sb 3.07-3.42
7 Y 0.0000 0.4945 0.2456  5 Sb 3.07-3.42
8 Y 0.5000 0.2466 0.9973  5 Sb 3.07-3.43
9 Y 0.5000 0.4918 0.4918  5 Sb 3.08-3.42
10 Y 0.5000 0.9973 0.2466  5 Sb 3.07-3.43
11 Sb 0.0000 0.2485 0.8604  4 Y 3.08-3.43, 5 Sm 3.11-3.25
12 Sb 0.0000 0.6288 0.6288  4 Y 3.07-3.42, 5 Sm 3.26-3.38
13 Sb 0.0000 0.8604 0.2485  4 Y 3.08-3.43, 5 Sm 3.11-3.25
14 Sb 0.5000 0.2463 0.6308  5 Y 3.07-3.42, 4 Sm 3.25-3.26
15 Sb 0.5000 0.6308 0.2463  5 Y 3.07-3.42, 4 Sm 3.25-3.26
16 Sb 0.5000 0.8618 0.8618  3 Y 3.08-3.37, 6 Sm 3.25-3.43

---

(11)
Below is a geometry-optimized Sm2YSb structure, with properties calculated at the PBE-GGA level.

## Properties
V: 138.75 Å³/cell
E_form (uncorrected): -317 meV per atom
space-group type: R-3m, No. 166
energy above the most stable polymorph in this dataset: 0.249 eV per atom

Lattice parameters (Å, degrees): 10.0249 10.0249 10.0249 23.33 23.33 23.33
Closest atoms and distances in Å follow each position.
Sites, in units of the cell vectors:
1 Sm 0.2343 0.2343 0.2343  3 Sb 3.06
2 Sm 0.7657 0.7657 0.7657  3 Sb 3.06
3 Y 0.0000 0.0000 0.0000  6 Sm 3.72, 6 Y 4.05
4 Sb 0.5000 0.5000 0.5000  6 Sm 3.06

---

(12)
Below is a geometry-optimized SmY5Sb4 structure, with properties calculated at the PBE-GGA level.

## Properties
V: 331.00 Å³/cell
E_form (uncorrected): -772 meV per atom
space-group type: C2/m, No. 12

Lattice parameters (Å, degrees): 9.6208 9.6208 8.4700 105.53 105.53 26.05
Closest atoms and distances in Å follow each position.
Sites, in units of the cell vectors:
1 Sm 0.0000 0.0000 0.0000  6 Sb 3.07-3.10
2 Y 0.0000 0.0000 0.5000  4 Sb 3.00
3 Y 0.3232 0.3232 0.6489  3 Sb 3.04-3.06
4 Y 0.3380 0.3380 0.1713  4 Sb 3.01-3.08
5 Y 0.6620 0.6620 0.8287  4 Sb 3.01-3.08
6 Y 0.6768 0.6768 0.3511  3 Sb 3.04-3.06
7 Sb 0.1716 0.1716 0.0926  5 Y 3.01-3.08, 1 Sm 3.10
8 Sb 0.4920 0.4920 0.7385  4 Y 3.00-3.07, 2 Sm 3.07
9 Sb 0.5080 0.5080 0.2615  4 Y 3.00-3.07, 2 Sm 3.07
10 Sb 0.8284 0.8284 0.9074  5 Y 3.01-3.08, 1 Sm 3.10